# 1
A geometry-optimized MnGeP2Br structure. Source: the Alexandria database, functional GGA-PBE.

Results
DOS at the Fermi energy in states/eV/cell: 4.81

Unit cell a=4.9341 b=5.1412 c=4.9341 alpha=90.00 beta=90.00 gamma=90.00
Each line ends with the local moment (μB).
Fractional coordinates of all 5 atoms:
P 0.0000 0.0000 0.5000  -0.05
P 0.5000 0.0000 0.0000  -0.06
Ge 0.0000 0.5000 0.0000  -0.05
Mn 0.5000 0.5000 0.5000  0.41
Br 0.0000 0.0000 0.0000  -0.01

# 2
A geometry-optimized MnGePbBr2 structure. Source: the Alexandria database, functional GGA-PBE.

Results
DOS at the Fermi energy in states/eV/cell: 1.02

Unit cell a=5.7772 b=5.6263 c=5.7772 alpha=90.00 beta=90.00 gamma=90.00
Each line ends with the local moment (μB).
Fractional coordinates of all 5 atoms:
Pb 0.0000 0.0000 0.0000  -0.07
Ge 0.5000 0.5000 0.5000  -0.57
Mn 0.0000 0.5000 0.0000  4.29
Br 0.0000 0.0000 0.5000  -0.01
Br 0.5000 0.0000 0.0000  -0.01

# 3
A geometry-optimized MnGe2PbBr8 structure. Source: the Alexandria database, functional GGA-PBE.

Results
DOS at the Fermi energy in states/eV/cell: 0.00

Unit cell a=7.0280 b=6.5468 c=8.6076 alpha=90.03 beta=89.73 gamma=87.58
Each line ends with the local moment (μB).
Fractional coordinates of all 12 atoms:
Mn 0.0000 0.0000 0.0000  4.37
Ge 0.4562 0.4644 0.7658  0.02
Ge 0.5438 0.5356 0.2342  0.02
Pb 0.0000 0.0000 0.5000  0.01
Br 0.1773 0.7887 0.2176  0.03
Br 0.6812 0.7555 0.0202  0.02
Br 0.8570 0.2558 0.2245  0.03
Br 0.8227 0.2113 0.7824  0.03
Br 0.3188 0.2445 0.9798  0.02
Br 0.1430 0.7442 0.7755  0.03
Br 0.6583 0.7269 0.4759  0.01
Br 0.3417 0.2731 0.5241  0.01

# 4
A geometry-optimized MnGePt2Br structure. Source: the Alexandria database, functional GGA-PBE.

Results
DOS at the Fermi energy in states/eV/cell: 2.31

Unit cell a=4.8332 b=4.6919 c=4.8332 alpha=90.00 beta=90.00 gamma=90.00
Each line ends with the local moment (μB).
Fractional coordinates of all 5 atoms:
Ge 0.5000 0.5000 0.5000  -0.02
Mn 0.0000 0.0000 0.0000  3.39
Br 0.0000 0.5000 0.0000  -0.01
Pt 0.0000 0.0000 0.5000  0.29
Pt 0.5000 0.0000 0.0000  0.15

# 5
A geometry-optimized RbMnGeBr5 structure. Source: the Alexandria database, functional GGA-PBE.

Results
DOS at the Fermi energy in states/eV/cell: 0.00

Unit cell a=7.9415 b=7.9415 c=10.3713 alpha=104.00 beta=104.00 gamma=105.80
Each line ends with the local moment (μB).
Fractional coordinates of all 16 atoms:
Rb 0.3416 0.6584 0.2500  0.00
Rb 0.6584 0.3416 0.7500  0.00
Mn 0.6873 0.3127 0.2500  4.32
Mn 0.3127 0.6873 0.7500  4.32
Ge 0.0000 0.0000 0.5000  0.03
Ge 0.0000 0.0000 0.0000  0.03
Br 0.0710 0.9290 0.2500  0.00
Br 0.9290 0.0710 0.7500  0.00
Br 0.9024 0.3165 0.1083  0.04
Br 0.0976 0.6835 0.8917  0.04
Br 0.6835 0.0976 0.3917  0.04
Br 0.3165 0.9024 0.6083  0.04
Br 0.7583 0.6205 0.4313  0.05
Br 0.2417 0.3795 0.5687  0.05
Br 0.3795 0.2417 0.0687  0.05
Br 0.6205 0.7583 0.9313  0.05

# 6
A geometry-optimized Rb3Mn2GeBr9 structure. Source: the Alexandria database, functional GGA-PBE.

Unit cell a=7.7025 b=7.7025 c=9.4318 alpha=90.00 beta=90.00 gamma=120.00
Each line ends with the local moment (μB).
Fractional coordinates of all 15 atoms:
Rb 0.3333 0.6667 0.6680  0.00
Rb 0.0000 0.0000 0.0000  0.00
Rb 0.6667 0.3333 0.3320  0.00
Mn 0.3333 0.6667 0.1624  4.38
Mn 0.6667 0.3333 0.8376  4.38
Ge 0.0000 0.0000 0.5000  0.07
Br 0.8295 0.1705 0.6722  0.03
Br 0.8295 0.6589 0.6722  0.03
Br 0.3411 0.1705 0.6722  0.03
Br 0.6589 0.8295 0.3278  0.03
Br 0.1705 0.3411 0.3278  0.03
Br 0.1705 0.8295 0.3278  0.03
Br 0.5000 0.0000 0.0000  0.06
Br 0.0000 0.5000 0.0000  0.06
Br 0.5000 0.5000 0.0000  0.06

# 7
A geometry-optimized Rb3MnGe2Br9 structure. Source: the Alexandria database, functional GGA-PBE.

Unit cell a=7.7873 b=7.7873 c=9.5351 alpha=90.00 beta=90.00 gamma=120.00
Each line ends with the local moment (μB).
Fractional coordinates of all 15 atoms:
Rb 0.3333 0.6667 0.6603  0.00
Rb 0.0000 0.0000 0.0000  0.00
Rb 0.6667 0.3333 0.3397  0.00
Mn 0.0000 0.0000 0.5000  4.33
Ge 0.3333 0.6667 0.1692  0.04
Ge 0.6667 0.3333 0.8308  0.04
Br 0.8378 0.1622 0.6619  0.02
Br 0.8378 0.6756 0.6619  0.02
Br 0.3244 0.1622 0.6619  0.02
Br 0.6756 0.8378 0.3381  0.02
Br 0.1622 0.3244 0.3381  0.02
Br 0.1622 0.8378 0.3381  0.02
Br 0.5000 0.0000 0.0000  0.01
Br 0.0000 0.5000 0.0000  0.01
Br 0.5000 0.5000 0.0000  0.01

# 8
A geometry-optimized MnGeSe2Br structure. Source: the Alexandria database, functional GGA-PBE.

Results
DOS at the Fermi energy in states/eV/cell: 1.71
E above lowest polymorph in meV per atom: 0.0

Unit cell a=4.9582 b=4.9582 c=4.9352 alpha=90.00 beta=90.00 gamma=90.00
Each line ends with the local moment (μB).
Fractional coordinates of all 5 atoms:
Ge 0.5000 0.5000 0.5000  0.10
Mn 0.0000 0.0000 0.0000  3.70
Se 0.0000 0.5000 0.0000  -0.01
Se 0.5000 0.0000 0.0000  -0.01
Br 0.0000 0.0000 0.5000  0.04

# 9
A geometry-optimized MnGeSeBr2 structure. Source: the Alexandria database, functional GGA-PBE.

Results
DOS at the Fermi energy in states/eV/cell: 2.34
E above lowest polymorph in meV per atom: 215.4

Unit cell a=5.2409 b=5.2409 c=5.2047 alpha=90.00 beta=90.00 gamma=90.00
Each line ends with the local moment (μB).
Fractional coordinates of all 5 atoms:
Ge 0.0000 0.0000 0.0000  0.00
Mn 0.5000 0.5000 0.5000  4.67
Se 0.0000 0.0000 0.5000  0.01
Br 0.0000 0.5000 0.0000  0.03
Br 0.5000 0.0000 0.0000  0.03

# 10
A geometry-optimized MnGeSeBr2 structure. Source: the Alexandria database, functional GGA-PBE.

Results
DOS at the Fermi energy in states/eV/cell: 1.68
E above lowest polymorph in meV per atom: 0.0

Unit cell a=5.0559 b=5.0559 c=5.1047 alpha=90.00 beta=90.00 gamma=90.00
Each line ends with the local moment (μB).
Fractional coordinates of all 5 atoms:
Ge 0.5000 0.5000 0.5000  0.24
Mn 0.0000 0.0000 0.0000  4.06
Se 0.0000 0.0000 0.5000  -0.04
Br 0.0000 0.5000 0.0000  0.05
Br 0.5000 0.0000 0.0000  0.05

# 11
A geometry-optimized MnGeSe2Br structure. Source: the Alexandria database, functional GGA-PBE.

Results
DOS at the Fermi energy in states/eV/cell: 1.09
E above lowest polymorph in meV per atom: 253.1

Unit cell a=5.0460 b=5.0460 c=5.1365 alpha=90.00 beta=90.00 gamma=90.00
Each line ends with the local moment (μB).
Fractional coordinates of all 5 atoms:
Ge 0.0000 0.0000 0.0000  -0.02
Mn 0.5000 0.5000 0.5000  4.55
Se 0.0000 0.5000 0.0000  -0.03
Se 0.5000 0.0000 0.0000  -0.03
Br 0.0000 0.0000 0.5000  0.03

# 12
A geometry-optimized MnSnGe2Br8 structure. Source: the Alexandria database, functional GGA-PBE.

Results
DOS at the Fermi energy in states/eV/cell: 0.00

Unit cell a=6.9873 b=6.5398 c=8.5164 alpha=89.94 beta=89.72 gamma=87.84
Each line ends with the local moment (μB).
Fractional coordinates of all 12 atoms:
Mn 0.0000 0.0000 0.0000  4.37
Sn 0.0000 0.0000 0.5000  0.01
Ge 0.4588 0.4656 0.7635  0.02
Ge 0.5412 0.5344 0.2365  0.02
Br 0.1761 0.7890 0.2218  0.03
Br 0.6806 0.7527 0.0176  0.02
Br 0.8544 0.2508 0.2274  0.03
Br 0.8239 0.2110 0.7782  0.03
Br 0.3194 0.2473 0.9824  0.02
Br 0.1456 0.7492 0.7726  0.03
Br 0.6629 0.7287 0.4779  0.01
Br 0.3371 0.2713 0.5221  0.01

Per-record E_form (uncorrected), kJ/mol of formula units: 922 283 -771 333 -728 -1624 -1575 41 106 2 163 -728